Material: Np2SbIr
Method: DFT, PBE-GGA
State: relaxed

Symmetry = R-3m, No. 166
Formation energy without anion corrections = -0.7 eV/f.u.
Polymorph energy (0 for the lowest one) = 41.3 meV/atom
N(E_F) = 15.7 states/eV/f.u.

Cell: 4.110 4.110 21.059 Å, 90.00 90.00 120.00°
Fractional positions:
Np1 0.000 0.000 0.237
Np2 0.000 0.000 0.763
Np3 0.333 0.667 0.430
Np4 0.333 0.667 0.904
Np5 0.667 0.333 0.096
Np6 0.667 0.333 0.570
Sb1 0.000 0.000 0.000
Sb2 0.333 0.667 0.667
Sb3 0.667 0.333 0.333
Ir1 0.000 0.000 0.500
Ir2 0.333 0.667 0.167
Ir3 0.667 0.333 0.833



Material: ScAs2Se
Method: DFT, PBE-GGA
State: relaxed

Symmetry = C2/m, No. 12
Formation energy without anion corrections = -2.9 eV/f.u.
N(E_F) = 1.8 states/eV/f.u.

Cell: 13.533 3.648 3.846 Å, 90.00 99.24 90.00°
Fractional positions:
Sc1 0.000 0.000 0.000
Sc2 0.500 0.500 0.000
As1 0.215 0.000 0.159
As2 0.285 0.500 0.841
As3 0.715 0.500 0.159
As4 0.785 0.000 0.841
Se1 0.000 0.500 0.500
Se2 0.500 0.000 0.500



Material: Sr3Tl7Pd4
Method: DFT, PBE-GGA
State: relaxed

Symmetry = C2/m, No. 12
Electronic total energy = -3.414 eV/atom
N(E_F) = 6.4 states/eV/f.u.

Cell: 9.089 9.089 10.520 Å, 121.12 121.12 29.76°
Fractional positions:
Sr1 0.000 0.000 0.000
Sr2 0.310 0.310 0.300
Sr3 0.690 0.690 0.700
Tl1 0.000 0.000 0.500
Tl2 0.164 0.164 0.431
Tl3 0.315 0.315 0.967
Tl4 0.497 0.497 0.722
Tl5 0.503 0.503 0.278
Tl6 0.685 0.685 0.033
Tl7 0.836 0.836 0.569
Pd1 0.119 0.119 0.838
Pd2 0.338 0.338 0.726
Pd3 0.662 0.662 0.274
Pd4 0.881 0.881 0.162



Material: Ba2SnSe5
Method: DFT, PBE-GGA
State: relaxed

Symmetry = P2_1/c, No. 14
Formation energy without anion corrections = -9.7 eV/f.u.
Polymorph energy (0 for the lowest one) = 0.0 meV/atom

Cell: 9.538 9.062 12.773 Å, 90.00 112.75 90.00°
Fractional positions:
Ba1 0.037 0.124 0.343
Ba2 0.037 0.376 0.843
Ba3 0.420 0.137 0.175
Ba4 0.420 0.363 0.675
Ba5 0.580 0.637 0.325
Ba6 0.580 0.863 0.825
Ba7 0.963 0.624 0.157
Ba8 0.963 0.876 0.657
Sn1 0.336 0.705 0.983
Sn2 0.336 0.795 0.483
Sn3 0.664 0.205 0.517
Sn4 0.664 0.295 0.017
Se1 0.060 0.236 0.596
Se2 0.060 0.264 0.096
Se3 0.140 0.578 0.445
Se4 0.140 0.922 0.945
Se5 0.262 0.627 0.776
Se6 0.262 0.873 0.276
Se7 0.285 0.507 0.107
Se8 0.285 0.993 0.607
Se9 0.404 0.180 0.905
Se10 0.404 0.320 0.405
Se11 0.596 0.680 0.595
Se12 0.596 0.820 0.095
Se13 0.715 0.007 0.393
Se14 0.715 0.493 0.893
Se15 0.738 0.127 0.724
Se16 0.738 0.373 0.224
Se17 0.860 0.078 0.055
Se18 0.860 0.422 0.555
Se19 0.940 0.736 0.904
Se20 0.940 0.764 0.404



Material: TbPrDy2
Method: DFT, PBE-GGA
State: relaxed

Symmetry = R-3m, No. 166
Polymorph energy (0 for the lowest one) = 19.0 meV/atom
N(E_F) = 5.1 states/eV/f.u.

Cell: 3.591 3.591 35.058 Å, 90.00 90.00 120.00°
Fractional positions:
Tb1 0.000 0.000 0.000
Tb2 0.333 0.667 0.667
Tb3 0.667 0.333 0.333
Pr1 0.000 0.000 0.500
Pr2 0.333 0.667 0.167
Pr3 0.667 0.333 0.833
Dy1 0.000 0.000 0.251
Dy2 0.000 0.000 0.749
Dy3 0.333 0.667 0.415
Dy4 0.333 0.667 0.918
Dy5 0.667 0.333 0.082
Dy6 0.667 0.333 0.585



Material: Pa2SiRh2
Method: DFT, PBE-GGA
State: relaxed

Symmetry = P4/mbm, No. 127
Formation energy without anion corrections = -3.8 eV/f.u.
N(E_F) = 5.0 states/eV/f.u.

Cell: 7.279 7.279 3.756 Å, 90.00 90.00 90.00°
Fractional positions:
Pa1 0.179 0.321 0.000
Pa2 0.321 0.821 0.000
Pa3 0.679 0.179 0.000
Pa4 0.821 0.679 0.000
Si1 0.000 0.000 0.500
Si2 0.500 0.500 0.500
Rh1 0.135 0.635 0.500
Rh2 0.365 0.135 0.500
Rh3 0.635 0.865 0.500
Rh4 0.865 0.365 0.500



Material: Pr2TlRu
Method: DFT, PBE-GGA
State: relaxed

Symmetry = P4/mmm, No. 123
Polymorph energy (0 for the lowest one) = 0.0 meV/atom
N(E_F) = 2.9 states/eV/f.u.

Cell: 3.547 3.547 8.512 Å, 90.00 90.00 90.00°
Fractional positions:
Pr1 0.000 0.000 0.204
Pr2 0.000 0.000 0.796
Tl1 0.500 0.500 0.500
Ru1 0.500 0.500 0.000



Material: Na2TePAu
Method: DFT, PBE-GGA
State: relaxed

Symmetry = P4/mmm, No. 123
Formation energy without anion corrections = 1.1 eV/f.u.
N(E_F) = 2.1 states/eV/f.u.

Cell: 5.970 5.970 4.985 Å, 90.00 90.00 90.00°
Fractional positions:
Na1 0.000 0.500 0.000
Na2 0.500 0.000 0.000
Te1 0.000 0.000 0.000
P1 0.000 0.000 0.500
Au1 0.500 0.500 0.500